[1]
DFT (PBE-GGA) results for a relaxed KMg3Cu4Cl12 crystal.

Properties
**Space group**: R32, No. 155
**Magnetic moment**: 1.1 μB per formula unit
**Formation energy (no corrections)**: -1.206 eV/atom

Unit cell a=8.394 b=8.394 c=8.394 alpha=106.34 beta=106.34 gamma=106.34
Last column: magnetic moment on the atom in μB.
Element x y z (fractional)
1 K 0.000 0.000 0.000  0.00
2 Mg 0.570 0.430 0.000  0.00
3 Mg 0.430 0.000 0.570  0.00
4 Mg 0.000 0.570 0.430  0.00
5 Cu 0.918 0.082 0.500  0.21
6 Cu 0.082 0.500 0.918  0.21
7 Cu 0.500 0.918 0.082  0.21
8 Cu 0.500 0.500 0.500  0.18
9 Cl 0.500 0.333 0.667  0.02
10 Cl 0.910 0.500 0.090  0.03
11 Cl 0.090 0.910 0.500  0.03
12 Cl 0.500 0.090 0.910  0.03
13 Cl 0.351 0.978 0.252  0.02
14 Cl 0.252 0.351 0.978  0.02
15 Cl 0.978 0.252 0.351  0.02
16 Cl 0.649 0.748 0.022  0.02
17 Cl 0.022 0.649 0.748  0.02
18 Cl 0.748 0.022 0.649  0.02
19 Cl 0.667 0.500 0.333  0.02
20 Cl 0.333 0.667 0.500  0.02

[2]
DFT (PBE-GGA) results for a relaxed K2MgCuCl5 crystal.

Properties
**Space group**: Cmc2_1, No. 36
**Magnetic moment**: 0.0 μB per formula unit
**Formation energy (no corrections)**: -1.581 eV/atom

Unit cell a=3.918 b=9.485 c=12.806 alpha=90.00 beta=90.00 gamma=101.92
Element x y z (fractional)
1 K 0.874 0.748 0.816
2 K 0.118 0.237 0.694
3 K 0.126 0.252 0.316
4 K 0.882 0.763 0.194
5 Mg 0.791 0.581 0.518
6 Mg 0.209 0.419 0.018
7 Cu 0.556 0.113 0.939
8 Cu 0.444 0.887 0.439
9 Cl 0.341 0.682 0.008
10 Cl 0.700 0.400 0.884
11 Cl 0.503 0.006 0.783
12 Cl 0.290 0.580 0.651
13 Cl 0.927 0.855 0.531
14 Cl 0.659 0.318 0.508
15 Cl 0.300 0.600 0.384
16 Cl 0.497 0.994 0.283
17 Cl 0.710 0.420 0.151
18 Cl 0.073 0.145 0.031

[3]
DFT (PBE-GGA) results for a relaxed KMgCuCl5 crystal.

Properties
**Space group**: C2/c, No. 15
**Magnetic moment**: 1.1 μB per formula unit
**Formation energy (no corrections)**: -1.336 eV/atom

Unit cell a=7.169 b=7.169 c=9.290 alpha=102.14 beta=102.14 gamma=111.16
Last column: magnetic moment on the atom in μB.
Element x y z (fractional)
1 K 0.330 0.670 0.250  0.00
2 K 0.670 0.330 0.750  0.00
3 Mg 0.000 0.000 0.500  0.00
4 Mg 0.000 0.000 0.000  0.00
5 Cu 0.676 0.324 0.250  0.53
6 Cu 0.324 0.676 0.750  0.53
7 Cl 0.066 0.934 0.250  0.04
8 Cl 0.934 0.066 0.750  0.04
9 Cl 0.874 0.282 0.093  0.09
10 Cl 0.126 0.718 0.907  0.09
11 Cl 0.718 0.126 0.407  0.09
12 Cl 0.282 0.874 0.593  0.09
13 Cl 0.719 0.614 0.434  0.10
14 Cl 0.281 0.386 0.566  0.10
15 Cl 0.386 0.281 0.066  0.10
16 Cl 0.614 0.719 0.934  0.10

[4]
DFT (PBE-GGA) results for a relaxed K3MgCu2Cl9 crystal.

Properties
**Space group**: P-3m1, No. 164
**Magnetic moment**: 0.0 μB per formula unit
**Formation energy (no corrections)**: -1.321 eV/atom

Unit cell a=6.948 b=6.948 c=8.538 alpha=90.00 beta=90.00 gamma=120.00
Element x y z (fractional)
1 K 0.333 0.667 0.664
2 K 0.000 0.000 0.000
3 K 0.667 0.333 0.336
4 Mg 0.000 0.000 0.500
5 Cu 0.333 0.667 0.160
6 Cu 0.667 0.333 0.840
7 Cl 0.831 0.169 0.671
8 Cl 0.831 0.663 0.671
9 Cl 0.337 0.169 0.671
10 Cl 0.663 0.831 0.329
11 Cl 0.169 0.337 0.329
12 Cl 0.169 0.831 0.329
13 Cl 0.500 0.000 0.000
14 Cl 0.000 0.500 0.000
15 Cl 0.500 0.500 0.000

[5]
DFT (PBE-GGA) results for a relaxed K2MgCu2Cl6 crystal.

Properties
**Space group**: C2/m, No. 12
**Magnetic moment**: 0.1 μB per formula unit
**Formation energy (no corrections)**: -1.350 eV/atom

Unit cell a=7.160 b=7.170 c=7.345 alpha=116.61 beta=90.00 gamma=119.96
Element x y z (fractional)
1 K 0.729 0.457 0.200
2 K 0.271 0.543 0.800
3 Mg 0.500 0.000 0.500
4 Cu 0.944 0.889 0.781
5 Cu 0.056 0.111 0.219
6 Cl 0.735 0.469 0.634
7 Cl 0.212 0.904 0.215
8 Cl 0.308 0.096 0.785
9 Cl 0.788 0.096 0.785
10 Cl 0.692 0.904 0.215
11 Cl 0.265 0.531 0.366

[6]
DFT (PBE-GGA) results for a relaxed K2MgCuCl6 crystal.

Properties
**Space group**: P2_1/c, No. 14
**Magnetic moment**: 1.0 μB per formula unit
**Formation energy (no corrections)**: -1.449 eV/atom

Unit cell a=7.283 b=7.116 c=9.607 alpha=90.00 beta=88.43 gamma=90.00
Last column: magnetic moment on the atom in μB.
Element x y z (fractional)
1 K 0.004 0.967 0.253  0.00
2 K 0.504 0.533 0.753  0.00
3 K 0.996 0.033 0.747  0.00
4 K 0.496 0.467 0.247  0.00
5 Mg 0.500 0.000 0.000  0.00
6 Mg 0.000 0.500 0.500  0.00
7 Cu 0.500 0.000 0.500  0.50
8 Cu 0.000 0.500 0.000  0.50
9 Cl 0.300 0.743 0.036  0.02
10 Cl 0.800 0.757 0.536  0.02
11 Cl 0.700 0.257 0.964  0.02
12 Cl 0.200 0.243 0.464  0.02
13 Cl 0.298 0.740 0.465  0.09
14 Cl 0.798 0.760 0.965  0.09
15 Cl 0.702 0.260 0.535  0.09
16 Cl 0.202 0.240 0.035  0.09
17 Cl 0.931 0.518 0.237  0.08
18 Cl 0.431 0.982 0.737  0.08
19 Cl 0.069 0.482 0.763  0.08
20 Cl 0.569 0.018 0.263  0.08

[7]
DFT (PBE-GGA) results for a relaxed K3Mn2CuCl9 crystal.

Properties
**Space group**: P-3m1, No. 164
**Magnetic moment**: 9.0 μB per formula unit
**Formation energy (no corrections)**: -1.340 eV/atom

Unit cell a=7.011 b=7.011 c=8.592 alpha=90.00 beta=90.00 gamma=120.00
Last column: magnetic moment on the atom in μB.
Element x y z (fractional)
1 K 0.333 0.667 0.660  0.00
2 K 0.000 0.000 0.000  0.00
3 K 0.667 0.333 0.340  0.00
4 Mn 0.333 0.667 0.174  4.19
5 Mn 0.667 0.333 0.826  4.19
6 Cu 0.000 0.000 0.500  -0.22
7 Cl 0.833 0.167 0.668  0.01
8 Cl 0.833 0.666 0.668  0.01
9 Cl 0.334 0.167 0.668  0.01
10 Cl 0.666 0.833 0.332  0.01
11 Cl 0.167 0.334 0.332  0.01
12 Cl 0.167 0.833 0.332  0.01
13 Cl 0.500 0.000 0.000  0.03
14 Cl 0.000 0.500 0.000  0.03
15 Cl 0.500 0.500 0.000  0.03

[8]
DFT (PBE-GGA) results for a relaxed K2MnCu2Cl6 crystal.

Properties
**Space group**: C2/m, No. 12
**Magnetic moment**: 5.0 μB per formula unit
**Formation energy (no corrections)**: -1.152 eV/atom

Unit cell a=7.184 b=7.181 c=7.324 alpha=116.48 beta=90.00 gamma=120.02
Last column: magnetic moment on the atom in μB.
Element x y z (fractional)
1 K 0.729 0.457 0.200  0.00
2 K 0.271 0.543 0.800  0.00
3 Mn 0.500 0.000 0.500  4.38
4 Cu 0.945 0.889 0.783  0.03
5 Cu 0.055 0.111 0.217  0.03
6 Cl 0.736 0.472 0.637  0.03
7 Cl 0.213 0.906 0.214  0.03
8 Cl 0.307 0.094 0.786  0.03
9 Cl 0.787 0.094 0.786  0.03
10 Cl 0.693 0.906 0.214  0.03
11 Cl 0.264 0.528 0.363  0.03

[9]
DFT (PBE-GGA) results for a relaxed KMnCuCl5 crystal.

Properties
**Space group**: C2/c, No. 15
**Magnetic moment**: 4.0 μB per formula unit
**Formation energy (no corrections)**: -1.118 eV/atom

Unit cell a=7.057 b=7.057 c=9.337 alpha=103.47 beta=103.47 gamma=106.96
Last column: magnetic moment on the atom in μB.
Element x y z (fractional)
1 K 0.336 0.664 0.250  0.00
2 K 0.664 0.336 0.750  0.00
3 Mn 0.000 0.000 0.500  3.94
4 Mn 0.000 0.000 0.000  3.94
5 Cu 0.691 0.309 0.250  -0.22
6 Cu 0.309 0.691 0.750  -0.22
7 Cl 0.059 0.941 0.250  0.03
8 Cl 0.941 0.059 0.750  0.03
9 Cl 0.893 0.295 0.092  0.00
10 Cl 0.107 0.705 0.908  0.00
11 Cl 0.705 0.107 0.408  0.00
12 Cl 0.295 0.893 0.592  0.00
13 Cl 0.764 0.637 0.423  -0.01
14 Cl 0.236 0.363 0.577  -0.01
15 Cl 0.363 0.236 0.077  -0.01
16 Cl 0.637 0.764 0.923  -0.01

[10]
DFT (PBE-GGA) results for a relaxed KMn2CuCl7 crystal.

Properties
**Space group**: I-4m2, No. 119
**Magnetic moment**: 9.2 μB per formula unit
**Formation energy (no corrections)**: -1.053 eV/atom

Unit cell a=4.932 b=4.932 c=11.032 alpha=102.92 beta=102.92 gamma=90.00
Last column: magnetic moment on the atom in μB.
Element x y z (fractional)
1 K 0.500 0.500 0.000  0.00
2 Mn 0.879 0.879 0.758  4.21
3 Mn 0.121 0.121 0.242  4.21
4 Cu 0.250 0.750 0.500  -0.10
5 Cl 0.120 0.620 0.241  0.04
6 Cl 0.000 0.000 0.000  0.02
7 Cl 0.380 0.880 0.759  0.04
8 Cl 0.764 0.764 0.528  0.02
9 Cl 0.610 0.110 0.221  0.04
10 Cl 0.236 0.236 0.472  0.02
11 Cl 0.890 0.390 0.779  0.04

[11]
DFT (PBE-GGA) results for a relaxed KMnCu2Cl6 crystal.

Properties
**Space group**: C2/c, No. 15
**Magnetic moment**: 4.0 μB per formula unit
**Formation energy (no corrections)**: -0.959 eV/atom

Unit cell a=7.771 b=9.012 c=9.012 alpha=81.12 beta=71.18 gamma=71.18
Last column: magnetic moment on the atom in μB.
Element x y z (fractional)
1 K 0.250 0.832 0.168  0.00
2 K 0.750 0.168 0.832  0.00
3 Mn 0.250 0.189 0.811  4.15
4 Mn 0.750 0.811 0.189  4.15
5 Cu 0.314 0.742 0.645  -0.26
6 Cu 0.186 0.355 0.258  -0.26
7 Cu 0.686 0.258 0.355  -0.26
8 Cu 0.814 0.645 0.742  -0.26
9 Cl 0.175 0.956 0.816  0.02
10 Cl 0.325 0.184 0.044  0.02
11 Cl 0.825 0.044 0.184  0.02
12 Cl 0.675 0.816 0.956  0.02
13 Cl 0.474 0.837 0.391  0.02
14 Cl 0.026 0.609 0.163  0.02
15 Cl 0.526 0.163 0.609  0.02
16 Cl 0.974 0.391 0.837  0.02
17 Cl 0.057 0.732 0.584  -0.05
18 Cl 0.443 0.416 0.268  -0.05
19 Cl 0.943 0.268 0.416  -0.05
20 Cl 0.557 0.584 0.732  -0.05

[12]
DFT (PBE-GGA) results for a relaxed KMnCu2Cl8 crystal.

Properties
**Space group**: P-1, No. 2
**Magnetic moment**: 4.1 μB per formula unit
**Formation energy (no corrections)**: -0.891 eV/atom

Unit cell a=6.036 b=6.850 c=8.862 alpha=63.27 beta=86.57 gamma=94.94
Last column: magnetic moment on the atom in μB.
Element x y z (fractional)
1 K 0.000 0.000 0.500  0.00
2 Mn 0.000 0.000 0.000  2.93
3 Cu 0.500 0.326 0.688  0.30
4 Cu 0.500 0.674 0.312  0.30
5 Cl 0.127 0.762 0.256  -0.01
6 Cl 0.682 0.750 0.060  0.01
7 Cl 0.830 0.166 0.135  0.04
8 Cl 0.873 0.238 0.744  -0.01
9 Cl 0.318 0.250 0.940  0.01
10 Cl 0.170 0.834 0.865  0.04
11 Cl 0.504 0.711 0.550  0.10
12 Cl 0.496 0.289 0.450  0.10

[13]
DFT (PBE-GGA) results for a relaxed K2MnCuCl5 crystal.

Properties
**Space group**: Cmc2_1, No. 36
**Magnetic moment**: 5.0 μB per formula unit
**Formation energy (no corrections)**: -1.330 eV/atom

Unit cell a=3.950 b=9.417 c=12.809 alpha=90.00 beta=90.00 gamma=102.11
Last column: magnetic moment on the atom in μB.
Element x y z (fractional)
1 K 0.874 0.747 0.816  0.00
2 K 0.118 0.236 0.693  0.00
3 K 0.126 0.253 0.316  0.00
4 K 0.882 0.764 0.193  0.00
5 Mn 0.791 0.583 0.518  4.44
6 Mn 0.209 0.417 0.018  4.44
7 Cu 0.558 0.116 0.940  0.02
8 Cu 0.442 0.884 0.440  0.02
9 Cl 0.342 0.683 0.008  0.04
10 Cl 0.698 0.397 0.882  0.05
11 Cl 0.503 0.005 0.784  0.00
12 Cl 0.290 0.581 0.651  0.06
13 Cl 0.930 0.860 0.532  0.03
14 Cl 0.658 0.317 0.508  0.04
15 Cl 0.302 0.603 0.382  0.05
16 Cl 0.497 0.995 0.284  0.00
17 Cl 0.710 0.419 0.151  0.06
18 Cl 0.070 0.140 0.032  0.03

[14]
DFT (PBE-GGA) results for a relaxed KCu2MoCl8 crystal.

Properties
**Space group**: P-1, No. 2
**Magnetic moment**: 1.0 μB per formula unit
**Formation energy (no corrections)**: -0.905 eV/atom

Unit cell a=6.183 b=6.988 c=8.958 alpha=61.88 beta=86.16 gamma=93.08
Last column: magnetic moment on the atom in μB.
Element x y z (fractional)
1 K 0.000 0.000 0.500  0.00
2 Cu 0.531 0.355 0.678  -0.20
3 Cu 0.469 0.645 0.322  -0.20
4 Mo 0.000 0.000 0.000  1.29
5 Cl 0.111 0.745 0.272  0.00
6 Cl 0.665 0.779 0.064  -0.02
7 Cl 0.846 0.199 0.123  0.02
8 Cl 0.889 0.255 0.728  0.00
9 Cl 0.335 0.221 0.936  -0.02
10 Cl 0.154 0.801 0.877  0.02
11 Cl 0.540 0.729 0.534  -0.05
12 Cl 0.460 0.271 0.466  -0.05

[15]
DFT (PBE-GGA) results for a relaxed K2NaCuCl6 crystal.

Properties
**Space group**: P2_1/c, No. 14
**Magnetic moment**: 0.0 μB per formula unit
**Formation energy (no corrections)**: -1.249 eV/atom

Unit cell a=8.062 b=6.981 c=9.853 alpha=90.00 beta=79.49 gamma=90.00
Element x y z (fractional)
1 K 0.995 0.962 0.265
2 K 0.495 0.538 0.765
3 K 0.005 0.038 0.735
4 K 0.505 0.462 0.235
5 Na 0.500 0.000 0.000
6 Na 0.000 0.500 0.500
7 Cu 0.500 0.000 0.500
8 Cu 0.000 0.500 0.000
9 Cl 0.295 0.716 0.061
10 Cl 0.795 0.784 0.561
11 Cl 0.705 0.284 0.939
12 Cl 0.205 0.216 0.439
13 Cl 0.351 0.733 0.493
14 Cl 0.851 0.767 0.993
15 Cl 0.649 0.267 0.507
16 Cl 0.149 0.233 0.007
17 Cl 0.905 0.478 0.225
18 Cl 0.405 0.022 0.725
19 Cl 0.095 0.522 0.775
20 Cl 0.595 0.978 0.275

[16]
DFT (PBE-GGA) results for a relaxed K4NaCu3Cl12 crystal.

Properties
**Space group**: Im-3m, No. 229
**Magnetic moment**: 0.0 μB per formula unit
**Formation energy (no corrections)**: -1.177 eV/atom

Unit cell a=8.602 b=8.602 c=8.602 alpha=109.47 beta=109.47 gamma=109.47
Element x y z (fractional)
1 K 0.500 0.500 0.500
2 K 0.000 0.000 0.500
3 K 0.500 0.000 0.000
4 K 0.000 0.500 0.000
5 Na 0.000 0.000 0.000
6 Cu 0.500 0.000 0.500
7 Cu 0.500 0.500 0.000
8 Cu 0.000 0.500 0.500
9 Cl 0.250 0.500 0.750
10 Cl 0.728 0.000 0.728
11 Cl 0.272 0.000 0.272
12 Cl 0.750 0.500 0.250
13 Cl 0.728 0.728 0.000
14 Cl 0.272 0.272 0.000
15 Cl 0.750 0.250 0.500
16 Cl 0.250 0.750 0.500
17 Cl 0.500 0.250 0.750
18 Cl 0.000 0.728 0.728
19 Cl 0.500 0.750 0.250
20 Cl 0.000 0.272 0.272

[17]
DFT (PBE-GGA) results for a relaxed KNaCu2Cl5 crystal.

Properties
**Space group**: P4/mmm, No. 123
**Magnetic moment**: 0.0 μB per formula unit
**Formation energy (no corrections)**: -1.101 eV/atom

Unit cell a=4.688 b=4.688 c=9.454 alpha=90.00 beta=90.00 gamma=90.00
Element x y z (fractional)
1 K 0.000 0.000 0.500
2 Na 0.000 0.000 0.000
3 Cu 0.500 0.500 0.236
4 Cu 0.500 0.500 0.764
5 Cl 0.000 0.500 0.195
6 Cl 0.500 0.000 0.195
7 Cl 0.000 0.500 0.805
8 Cl 0.500 0.000 0.805
9 Cl 0.500 0.500 0.500

[18]
DFT (PBE-GGA) results for a relaxed K2NaCuCl4 crystal.

Properties
**Space group**: C2/c, No. 15
**Magnetic moment**: 0.2 μB per formula unit
**Formation energy (no corrections)**: -1.467 eV/atom

Unit cell a=8.502 b=8.502 c=9.157 alpha=122.44 beta=122.44 gamma=81.17
Last column: magnetic moment on the atom in μB.
Element x y z (fractional)
1 K 0.500 0.000 0.000  0.00
2 K 0.500 0.000 0.500  0.00
3 K 0.000 0.000 0.500  0.00
4 K 0.500 0.500 0.000  0.00
5 Na 0.000 0.500 0.000  0.00
6 Na 0.000 0.500 0.500  0.00
7 Cu 0.500 0.500 0.500  0.14
8 Cu 0.000 0.000 0.000  0.14
9 Cl 0.191 0.798 0.995  0.00
10 Cl 0.702 0.309 0.505  0.00
11 Cl 0.298 0.691 0.495  0.00
12 Cl 0.809 0.202 0.005  0.00
13 Cl 0.767 0.735 0.032  0.01
14 Cl 0.765 0.733 0.468  0.01
15 Cl 0.235 0.267 0.532  0.01
16 Cl 0.233 0.265 0.968  0.01